Tl2Pt | PBE | relaxed

Lattice parameters (Å, degrees): 4.201 4.201 5.298 90.00 90.00 120.00
Sites, in units of the cell vectors:
Pt (0.000, 0.000, 0.000)
Tl (0.667, 0.333, 0.728)
Tl (0.333, 0.667, 0.272)

Calculated values
Space-group type: P-3m1 (164)
Energy of formation (eV per atom): 0.03

---

TlPt | PBE | relaxed

Lattice parameters (Å, degrees): 3.854 3.854 3.440 90.00 90.00 120.00
Sites, in units of the cell vectors:
Pt (0.000, 0.000, 0.000)
Tl (0.667, 0.333, 0.500)

Calculated values
Space-group type: P-6m2 (187)
Energy of formation (eV per atom): 0.12

---

Tl5Pt | PBE | relaxed

Lattice parameters (Å, degrees): 6.430 6.430 8.704 65.17 65.17 31.59
Sites, in units of the cell vectors:
Tl (0.972, 0.972, 0.556)
Tl (0.299, 0.299, 0.344)
Tl (0.344, 0.344, 0.923)
Tl (0.645, 0.645, 0.768)
Tl (0.601, 0.601, 0.188)
Pt (0.972, 0.972, 0.055)

Calculated values
Energy above the lowest structure with this stoichiometry (eV per formula unit): 0.110
Space-group type: C2/m (12)
Energy of formation (eV per atom): 0.01

---

TlPt2 | PBE | relaxed

Lattice parameters (Å, degrees): 3.832 3.832 4.303 90.00 90.00 90.00
Sites, in units of the cell vectors:
Pt (0.500, 0.000, 0.500)
Pt (0.000, 0.500, 0.500)
Tl (0.000, 0.000, 0.000)

Calculated values
Energy above the lowest structure with this stoichiometry (eV per formula unit): 0.418
Space-group type: P4/mmm (123)
Energy of formation (eV per atom): 0.09